[1]
DFT (GGA-PBE) results for an optimized crystal structure of RbYCuF6.

a = 7.4097 Å, b = 7.6348 Å, c = 7.3705 Å
α = 121.19°, β = 120.18°, γ = 90.00°
Site moments in Bohr magnetons follow the coordinates.
Fractional positions:
Cu1 0.5000 0.5000 0.0000  0.71
F1 0.4389 0.1446 0.2639  0.07
F2 0.4389 0.6193 0.2639  0.07
Rb1 0.1609 0.4109 0.3219  0.00
Y1 0.0000 0.0000 0.5000  0.00
F3 0.1256 0.8756 0.2513  0.00
Cu2 0.5000 0.0000 0.0000  0.71
F4 0.5611 0.3807 0.7361  0.07
F5 0.8744 0.1244 0.7487  0.00
F6 0.8251 0.1446 0.2639  0.07
Y2 0.5000 0.0000 0.5000  0.00
Rb2 0.8391 0.5891 0.6781  0.00
F7 0.6171 0.8671 0.2343  0.00
F8 0.8251 0.6193 0.2639  0.07
F9 0.1749 0.8554 0.7361  0.07
F10 0.5611 0.8554 0.7361  0.07
F11 0.3829 0.1329 0.7657  0.00
F12 0.1749 0.3807 0.7361  0.07

## Properties
For the density, the calculation gives 4.05 g/cm3. The value obtained for the energy relative to the elements, uncorrected is -2.926 eV per atom.



[2]
DFT (GGA-PBE) results for an optimized crystal structure of BaCoMo2W.

a = 4.7621 Å, b = 4.6679 Å, c = 4.7621 Å
α = 90.00°, β = 90.00°, γ = 90.00°
Site moments in Bohr magnetons follow the coordinates.
Fractional positions:
Mo1 0.0000 0.0000 0.5000  1.20
Ba1 0.5000 0.5000 0.5000  0.03
Mo2 0.5000 0.0000 0.0000  0.98
W1 0.0000 0.5000 0.0000  -0.93
Co1 0.0000 0.0000 0.0000  -0.02

## Properties
For the density, the calculation gives 8.97 g/cm3. The formation enthalpy at 0 K is 1417 meV/atom.



[3]
DFT (GGA-PBE) results for an optimized crystal structure of Th3BiPN.

a = 4.1791 Å, b = 8.8797 Å, c = 9.3295 Å
α = 102.31°, β = 90.00°, γ = 90.00°
Fractional positions:
N1 0.7500 0.9179 0.4033
Th1 0.7500 0.1732 0.5269
Th2 0.7500 0.4364 0.1510
Bi1 0.7500 0.8161 0.7673
Th3 0.2500 0.5636 0.8490
N2 0.2500 0.0821 0.5967
Bi2 0.2500 0.1839 0.2327
P1 0.2500 0.6610 0.1608
Th4 0.2500 0.8268 0.4731
Th5 0.2500 0.1171 0.8534
P2 0.7500 0.3390 0.8392
Th6 0.7500 0.8829 0.1466

## Properties
For the density, the calculation gives 9.33 g/cm3. The value obtained for the energy relative to the elements, uncorrected is -1.181 eV per atom.



[4]
DFT (GGA-PBE) results for an optimized crystal structure of CsTlHgI2.

a = 6.6856 Å, b = 6.6856 Å, c = 5.9512 Å
α = 90.00°, β = 90.00°, γ = 90.00°
Fractional positions:
Tl1 0.0000 0.0000 0.0000
Hg1 0.0000 0.0000 0.5000
I1 0.5000 0.0000 0.0000
I2 0.0000 0.5000 0.0000
Cs1 0.5000 0.5000 0.5000

## Properties
For the density, the calculation gives 4.94 g/cm3. For the excess energy over the best structure of this formula in the dataset, the calculation gives 0.22 eV/f.u. The value obtained for the energy relative to the elements, uncorrected is -0.768 eV per atom.



[5]
DFT (GGA-PBE) results for an optimized crystal structure of Rb6Hg23.

a = 11.0730 Å, b = 11.0730 Å, c = 11.0730 Å
α = 60.00°, β = 60.00°, γ = 60.00°
Fractional positions:
Hg1 0.3815 0.8556 0.3815
Hg2 0.5103 0.8299 0.8299
Hg3 0.5000 0.0000 0.0000
Hg4 0.0000 0.0000 0.5000
Hg5 0.5000 0.5000 0.5000
Rb1 0.7823 0.2177 0.7823
Hg6 0.0000 0.5000 0.5000
Hg7 0.0000 0.5000 0.0000
Hg8 0.3815 0.3815 0.3815
Rb2 0.2177 0.7823 0.2177
Hg9 0.8299 0.8299 0.8299
Hg10 0.8299 0.5103 0.8299
Hg11 0.1701 0.1701 0.1701
Hg12 0.4897 0.1701 0.1701
Hg13 0.6185 0.6185 0.6185
Hg14 0.6185 0.1444 0.6185
Hg15 0.8556 0.3815 0.3815
Hg16 0.5000 0.0000 0.5000
Hg17 0.1701 0.4897 0.1701
Rb3 0.2177 0.7823 0.7823
Hg18 0.3815 0.3815 0.8556
Rb4 0.7823 0.7823 0.2177
Rb5 0.7823 0.2177 0.2177
Hg19 0.5000 0.5000 0.0000
Hg20 0.1701 0.1701 0.4897
Hg21 0.8299 0.8299 0.5103
Hg22 0.1444 0.6185 0.6185
Hg23 0.6185 0.6185 0.1444
Rb6 0.2177 0.2177 0.7823

## Properties
For the density, the calculation gives 8.87 g/cm3. The formation enthalpy at 0 K is -174 meV/atom.



[6]
DFT (GGA-PBE) results for an optimized crystal structure of PmDy7Y2.

a = 5.4509 Å, b = 8.8942 Å, c = 9.4809 Å
α = 117.99°, β = 106.71°, γ = 52.16°
Fractional positions:
Dy1 0.7505 0.6401 0.7816
Dy2 0.5000 0.5000 0.0000
Dy3 0.9998 0.8009 0.6016
Dy4 0.2483 0.1423 0.7816
Y1 0.5002 0.6998 0.3998
Dy5 0.0002 0.1991 0.3984
Dy6 0.7517 0.8577 0.2184
Pm1 0.0000 0.0000 0.0000
Dy7 0.2495 0.3599 0.2184
Y2 0.4998 0.3002 0.6002

## Properties
For the density, the calculation gives 7.57 g/cm3. The formation enthalpy at 0 K is 49 meV/atom. For the excess energy over the best structure of this formula in the dataset, the calculation gives 0.00 eV/f.u.



[7]
DFT (GGA-PBE) results for an optimized crystal structure of CsSn2Ge.

a = 4.9171 Å, b = 4.9171 Å, c = 7.7500 Å
α = 71.50°, β = 71.50°, γ = 60.00°
Fractional positions:
Sn1 0.0263 0.0263 0.9212
Cs1 0.4934 0.4934 0.5197
Ge1 0.6909 0.6909 0.9272
Sn2 0.2893 0.2893 0.1320

## Properties
For the density, the calculation gives 4.87 g/cm3. The formation enthalpy at 0 K is -16 meV/atom.



[8]
DFT (GGA-PBE) results for an optimized crystal structure of Rb2CaSnF6.

a = 4.6386 Å, b = 4.6386 Å, c = 9.2899 Å
α = 90.00°, β = 90.00°, γ = 90.00°
Fractional positions:
Rb1 0.0000 0.0000 0.7586
F1 0.5000 0.0000 0.5000
F2 0.5000 0.0000 0.0000
F3 0.0000 0.5000 0.5000
F4 0.0000 0.5000 0.0000
Sn1 0.5000 0.5000 0.5000
Rb2 0.0000 0.0000 0.2414
Ca1 0.5000 0.5000 0.0000
F5 0.5000 0.5000 0.2406
F6 0.5000 0.5000 0.7594

## Properties
For the density, the calculation gives 3.69 g/cm3. For the excess energy over the best structure of this formula in the dataset, the calculation gives 0.04 eV/f.u. The value obtained for the energy relative to the elements, uncorrected is -2.946 eV per atom.